# 1
DFT (meta-GGA SCAN) results for a PBEsol-optimized structure of Na2OsBrCl.

Structure (POSCAR):
```
Na2OsBrCl
1.0
-0.058 -4.350 1.072
1.504 1.301 5.357
-5.513 0.430 1.443
Na Br Os Cl
2 1 1 1
Direct
0.000 0.000 0.500
0.000 0.500 0.000
0.500 0.000 0.000
0.000 0.000 0.000
0.500 0.500 0.500
```

Summary:
magnetization: 0.6 Bohr magnetons per cell
ΔE_f (raw): 0.132 eV/atom
volume: 29.3 A^3/atom
electronic total energy: -21.4177 eV/atom
N(E_F): 0.72 states/eV per atom

=====

# 2
DFT (meta-GGA SCAN) results for a PBEsol-optimized structure of CaBrCl.

Structure (POSCAR):
```
CaBrCl
1.0
4.840 0.000 0.000
2.420 4.192 0.000
2.420 1.397 3.952
Ca Cl Br
1 1 1
Direct
0.250 0.250 0.250
0.000 0.000 0.000
0.500 0.500 0.500
```

Summary:
magnetization: 0.0 Bohr magnetons per cell
ΔE_f (raw): -2.375 eV/atom
volume: 26.7 A^3/atom
electronic total energy: -14.7423 eV/atom
N(E_F): 0.00 states/eV per atom

=====

# 3
DFT (meta-GGA SCAN) results for a PBEsol-optimized structure of MgFeW2.

Structure (POSCAR):
```
MgFeW2
1.0
-0.732 -2.453 -0.646
2.005 -1.525 3.519
-4.135 1.342 2.937
Fe Mg W
1 1 2
Direct
0.504 0.000 0.498
0.288 0.500 0.742
0.970 0.000 0.005
0.738 0.500 0.255
```

Summary:
magnetization: 2.2 Bohr magnetons per cell
volume: 14.8 A^3/atom
electronic total energy: -40.2667 eV/atom
N(E_F): 0.59 states/eV per atom

=====

Q: Which formula does entry 1 have?
A: Na2OsBrCl

=====

Q: magnetization of number 2 (CaBrCl)?
A: 0.0 Bohr magnetons per cell

=====

Q: electronic total energy of number 2 (CaBrCl)?
A: -14.7423 eV/atom